{
  "formula": "AsAuI2",
  "functional": "PBE-GGA",
  "state": "relaxed",
  "space_group": "Fm-3m (225)",
  "de_polymorph_ev_per_fu": 0.750,
  "cell": [[-1.543, -4.634, 1.997], [-0.698, -0.529, 5.204], [-4.867, -0.535, 1.968]],
  "species": ["I", "I", "As", "Au"],
  "frac_coords": [[0.250, 0.250, 0.250], [0.750, 0.750, 0.750], [0.000, 0.000, 0.000], [0.500, 0.500, 0.500]]
}

=====

{
  "formula": "As3Au12I5",
  "functional": "PBE-GGA",
  "state": "relaxed",
  "space_group": "Ia-3d (230)",
  "cell": [[14.250, 0.000, 0.000], [-4.750, 13.435, 0.000], [-4.750, -6.717, 11.635]],
  "species": ["As", "As", "As", "As", "As", "As", "As", "As", "As", "As", "As", "As", "I", "I", "I", "I", "I", "I", "I", "I", "I", "I", "I", "I", "I", "I", "I", "I", "I", "I", "I", "I", "Au", "Au", "Au", "Au", "Au", "Au", "Au", "Au", "Au", "Au", "Au", "Au", "Au", "Au", "Au", "Au", "Au", "Au", "Au", "Au", "Au", "Au", "Au", "Au", "Au", "Au", "Au", "Au", "Au", "Au", "Au", "Au", "Au", "Au", "Au", "Au", "Au", "Au", "Au", "Au", "Au", "Au", "Au", "Au", "Au", "Au", "Au", "Au"],
  "frac_coords": [[0.750, 0.375, 0.125], [0.875, 0.750, 0.125], [0.375, 0.750, 0.625], [0.250, 0.125, 0.375], [0.875, 0.125, 0.250], [0.375, 0.625, 0.250], [0.625, 0.375, 0.750], [0.125, 0.875, 0.750], [0.750, 0.875, 0.625], [0.625, 0.250, 0.375], [0.125, 0.250, 0.875], [0.250, 0.625, 0.875], [0.125, 0.375, 0.250], [0.000, 0.500, 0.000], [0.000, 0.000, 0.000], [0.375, 0.250, 0.125], [0.500, 0.000, 0.500], [0.500, 0.500, 0.000], [0.125, 0.750, 0.375], [0.750, 0.125, 0.875], [0.750, 0.625, 0.375], [0.375, 0.125, 0.750], [0.625, 0.875, 0.250], [0.500, 0.500, 0.500], [0.500, 0.000, 0.000], [0.000, 0.000, 0.500], [0.250, 0.375, 0.625], [0.250, 0.875, 0.125], [0.000, 0.500, 0.500], [0.875, 0.250, 0.625], [0.625, 0.750, 0.875], [0.875, 0.625, 0.750], [0.770, 0.135, 0.078], [0.308, 0.578, 0.444], [0.922, 0.365, 0.230], [0.578, 0.270, 0.135], [0.635, 0.770, 0.692], [0.922, 0.556, 0.192], [0.308, 0.730, 0.365], [0.056, 0.865, 0.135], [0.556, 0.922, 0.692], [0.770, 0.635, 0.192], [0.730, 0.422, 0.365], [0.808, 0.944, 0.078], [0.135, 0.770, 0.578], [0.365, 0.444, 0.135], [0.135, 0.944, 0.365], [0.365, 0.135, 0.556], [0.135, 0.192, 0.270], [0.422, 0.692, 0.056], [0.808, 0.865, 0.230], [0.135, 0.365, 0.056], [0.365, 0.922, 0.730], [0.556, 0.635, 0.365], [0.944, 0.808, 0.578], [0.730, 0.308, 0.865], [0.444, 0.365, 0.635], [0.056, 0.192, 0.422], [0.270, 0.692, 0.135], [0.192, 0.135, 0.770], [0.635, 0.078, 0.270], [0.865, 0.635, 0.944], [0.578, 0.308, 0.944], [0.635, 0.865, 0.444], [0.865, 0.808, 0.730], [0.865, 0.056, 0.635], [0.865, 0.230, 0.422], [0.192, 0.056, 0.922], [0.635, 0.556, 0.865], [0.444, 0.078, 0.308], [0.230, 0.365, 0.808], [0.270, 0.578, 0.635], [0.944, 0.135, 0.865], [0.692, 0.270, 0.635], [0.422, 0.730, 0.865], [0.078, 0.444, 0.808], [0.365, 0.230, 0.308], [0.078, 0.635, 0.770], [0.692, 0.422, 0.556], [0.230, 0.865, 0.922]]
}

=====

{
  "formula": "As2Au2I",
  "functional": "PBE-GGA",
  "state": "relaxed",
  "space_group": "I4/mmm (139)",
  "de_polymorph_ev_per_fu": 0.000,
  "cell": [[-1.372, -0.240, -4.032], [-1.645, -3.856, 0.789], [-7.678, 0.976, 0.297]],
  "species": ["I", "As", "As", "Au", "Au"],
  "frac_coords": [[0.000, 0.000, 0.000], [0.356, 0.356, 0.287], [0.644, 0.644, 0.713], [0.750, 0.250, 0.500], [0.250, 0.750, 0.500]]
}

=====

{
  "formula": "AsAuI",
  "functional": "PBE-GGA",
  "state": "relaxed",
  "space_group": "P2_1/m (11)",
  "de_polymorph_ev_per_fu": 0.431,
  "cell": [[3.893, -0.084, -0.515], [0.020, 9.460, -1.396], [0.635, 1.429, 4.565]],
  "species": ["I", "I", "Au", "Au", "As", "As"],
  "frac_coords": [[0.250, 0.670, 0.709], [0.750, 0.330, 0.291], [0.250, 0.927, 0.349], [0.750, 0.073, 0.651], [0.750, 0.862, 0.028], [0.250, 0.138, 0.972]]
}

=====

{
  "formula": "AsAuI3",
  "functional": "PBE-GGA",
  "state": "relaxed",
  "space_group": "Pm-3m (221)",
  "de_polymorph_ev_per_fu": 3.088,
  "cell": [[5.665, 0.000, 0.000], [0.000, 5.665, 0.000], [0.000, 0.000, 5.665]],
  "species": ["I", "I", "I", "As", "Au"],
  "frac_coords": [[0.000, 0.500, 0.000], [0.000, 0.000, 0.500], [0.500, 0.000, 0.000], [0.500, 0.500, 0.500], [0.000, 0.000, 0.000]]
}

=====

{
  "formula": "AsAuI",
  "functional": "PBE-GGA",
  "state": "relaxed",
  "space_group": "P2_1/m (11)",
  "de_polymorph_ev_per_fu": 0.629,
  "cell": [[-3.121, -0.282, 2.018], [-2.350, -6.969, -4.610], [2.545, -4.859, 3.258]],
  "species": ["As", "As", "Au", "Au", "I", "I"],
  "frac_coords": [[0.750, 0.594, 0.983], [0.250, 0.406, 0.017], [0.250, 0.249, 0.384], [0.750, 0.751, 0.616], [0.750, 0.151, 0.713], [0.250, 0.849, 0.287]]
}

=====

{
  "formula": "AsAuI3",
  "functional": "PBE-GGA",
  "state": "relaxed",
  "space_group": "Pm-3m (221)",
  "de_polymorph_ev_per_fu": 2.512,
  "cell": [[-5.658, 0.282, -0.096], [-0.106, -0.218, 5.661], [0.278, 5.655, 0.222]],
  "species": ["I", "I", "I", "As", "Au"],
  "frac_coords": [[0.000, 0.500, 0.000], [0.000, 0.000, 0.500], [0.500, 0.000, 0.000], [0.000, 0.000, 0.000], [0.500, 0.500, 0.500]]
}

=====

{
  "formula": "AsAuI2",
  "functional": "PBE-GGA",
  "state": "relaxed",
  "space_group": "I-42d (122)",
  "de_polymorph_ev_per_fu": 0.000,
  "cell": [[-2.820, -4.087, 2.824], [4.863, -1.608, 2.529], [-0.474, 2.538, 8.978]],
  "species": ["I", "I", "I", "I", "As", "As", "Au", "Au"],
  "frac_coords": [[0.619, 0.125, 0.250], [0.131, 0.625, 0.250], [0.375, 0.381, 0.750], [0.875, 0.869, 0.750], [0.500, 0.500, 0.000], [0.250, 0.750, 0.500], [0.000, 0.000, 0.000], [0.750, 0.250, 0.500]]
}

=====

no.,uncorrected formation energy (meV/atom),ρ (g cm⁻³)
1,641,8.402
2,187,9.610
3,241,8.577
4,49,7.397
5,565,5.961
6,116,6.598
7,449,5.958
8,454,6.352